## one
# AcPaBi2

A relaxed AcPaBi2 crystal (PBE-GGA, Alexandria).

Output
* SG: No. 225

a = 5.665 Å, b = 5.665 Å, c = 5.665 Å
α = 60.00°, β = 60.00°, γ = 60.00°
Atoms (fractional coordinates):
1 Ac 0.000 0.000 0.000
2 Pa 0.500 0.500 0.500
3 Bi 0.250 0.250 0.250
4 Bi 0.750 0.750 0.750

## two
# AcPaBi2

A relaxed AcPaBi2 crystal (PBE-GGA, Alexandria).

Output
* SG: No. 123

a = 3.972 Å, b = 3.972 Å, c = 8.110 Å
α = 90.00°, β = 90.00°, γ = 90.00°
Atoms (fractional coordinates):
1 Ac 0.000 0.000 0.000
2 Pa 0.000 0.000 0.500
3 Bi 0.500 0.500 0.274
4 Bi 0.500 0.500 0.726

Which of them is most stable, and which least? Most stable: two; least stable: one.

## one
# AcPaBi

A relaxed AcPaBi crystal (PBE-GGA, Alexandria).

Output
* SG: No. 107

a = 6.607 Å, b = 6.607 Å, c = 6.607 Å
α = 143.38°, β = 143.38°, γ = 52.76°
Atoms (fractional coordinates):
1 Ac 0.000 0.000 0.000
2 Pa 0.702 0.702 0.000
3 Bi 0.322 0.322 0.000

## two
# AcPaBi

A relaxed AcPaBi crystal (PBE-GGA, Alexandria).

Output
* SG: No. 156

a = 5.671 Å, b = 5.671 Å, c = 3.391 Å
α = 90.00°, β = 90.00°, γ = 120.00°
Atoms (fractional coordinates):
1 Ac 0.000 0.000 0.000
2 Pa 0.333 0.667 0.938
3 Bi 0.667 0.333 0.519

Which of them is most stable, and which least? Most stable: one; least stable: two.

## one
# Ac2BiPb

A relaxed Ac2BiPb crystal (PBE-GGA, Alexandria).

Output
* SG: No. 62

a = 9.106 Å, b = 4.633 Å, c = 15.243 Å
α = 90.00°, β = 90.00°, γ = 90.00°
Atoms (fractional coordinates):
1 Ac 0.180 0.250 0.233
2 Ac 0.184 0.750 0.992
3 Ac 0.316 0.250 0.492
4 Ac 0.320 0.750 0.733
5 Ac 0.680 0.250 0.267
6 Ac 0.684 0.750 0.508
7 Ac 0.816 0.250 0.008
8 Ac 0.820 0.750 0.767
9 Bi 0.078 0.250 0.834
10 Bi 0.422 0.750 0.334
11 Bi 0.578 0.250 0.666
12 Bi 0.922 0.750 0.166
13 Pb 0.040 0.750 0.570
14 Pb 0.460 0.250 0.070
15 Pb 0.540 0.750 0.930
16 Pb 0.960 0.250 0.430

## two
# Ac2BiPb

A relaxed Ac2BiPb crystal (PBE-GGA, Alexandria).

Output
* SG: No. 63

a = 13.508 Å, b = 13.508 Å, c = 4.801 Å
α = 90.00°, β = 90.00°, γ = 158.88°
Atoms (fractional coordinates):
1 Ac 0.063 0.937 0.750
2 Ac 0.316 0.684 0.750
3 Ac 0.684 0.316 0.250
4 Ac 0.937 0.063 0.250
5 Bi 0.189 0.811 0.750
6 Bi 0.811 0.189 0.250
7 Pb 0.455 0.545 0.750
8 Pb 0.545 0.455 0.250

Which of them is most stable, and which least? Most stable: two; least stable: one.